No. 1
# MgSc2Ni SCAN PBEsol geometry
# Calculated total energy   -12.32 eV per atom
# Total magnetization   0.00 μB/cell
# DOS at the Fermi energy   0.87 states/eV per atom
# Crystal system   trigonal
data_MgSc2Ni
_chemical_formula_sum 'Mg3 Sc6 Ni3'
_symmetry_space_group_name_H-M 'R -3 m'
_symmetry_Int_Tables_number 166
_symmetry_space_group_name_Hall '-R 3 2"'
_cell_length_a 3.2066
_cell_length_b 3.2066
_cell_length_c 28.8256
_cell_angle_alpha 90.00
_cell_angle_beta 90.00
_cell_angle_gamma 120.00
loop_
_atom_site_label
_atom_site_type_symbol
_atom_site_fract_x
_atom_site_fract_y
_atom_site_fract_z
Mg1 Mg 0.0000 0.0000 0.0000
Sc1 Sc 0.0000 0.0000 0.1071
Ni1 Ni 0.0000 0.0000 0.5000


No. 2
# ReAg2Ir SCAN PBEsol geometry
# Calculated total energy   -50.94 eV per atom
# Total magnetization   0.00 μB/cell
# DOS at the Fermi energy   0.59 states/eV per atom
# Crystal system   orthorhombic
data_ReAg2Ir
_chemical_formula_sum 'Re1 Ag2 Ir1'
_symmetry_space_group_name_H-M 'P m m 2'
_symmetry_Int_Tables_number 25
_cell_length_a 2.752
_cell_length_b 3.901
_cell_length_c 5.748
_cell_angle_alpha 90.00
_cell_angle_beta 90.00
_cell_angle_gamma 90.00
loop_
_symmetry_equiv_pos_as_xyz
'x,y,z'
'-x,-y,z'
'-x,y,z'
'x,-y,z'
loop_
_atom_site_label
_atom_site_type_symbol
_atom_site_fract_x
_atom_site_fract_y
_atom_site_fract_z
Re1 Re 0.000 0.000 0.000
Ag1 Ag 0.000 0.000 0.525
Ag2 Ag 0.500 0.500 0.289
Ir1 Ir 0.500 0.500 0.816


No. 3
# Mn2CoP SCAN PBEsol geometry
# Calculated total energy   -16.23 eV per atom
# Total magnetization   2.60 μB/cell
# DOS at the Fermi energy   0.79 states/eV per atom
# Crystal system   tetragonal
data_Mn2CoP
_chemical_formula_sum 'Mn2 Co1 P1'
_symmetry_space_group_name_H-M 'P 4 m m'
_symmetry_Int_Tables_number 99
_cell_length_a 2.644
_cell_length_b 2.644
_cell_length_c 5.979
_cell_angle_alpha 90.00
_cell_angle_beta 90.00
_cell_angle_gamma 90.00
loop_
_symmetry_equiv_pos_as_xyz
'x,y,z'
'-y,x,z'
'-x,-y,z'
'y,-x,z'
'-x,y,z'
'y,x,z'
'x,-y,z'
'-y,-x,z'
loop_
_atom_site_label
_atom_site_type_symbol
_atom_site_fract_x
_atom_site_fract_y
_atom_site_fract_z
Mn1 Mn 0.000 0.000 0.000
Mn2 Mn 0.500 0.500 0.265
Co1 Co 0.500 0.500 0.703
P1 P 0.000 0.000 0.491


No. 4
# KSc2Sb SCAN PBEsol geometry
# Total magnetization   1.74 μB/cell
# DOS at the Fermi energy   0.48 states/eV per atom
# Crystal system   tetragonal
# Energy relative to the elements, uncorrected   -42 meV per atom
data_KSc2Sb
_chemical_formula_sum 'K1 Sc2 Sb1'
_symmetry_space_group_name_H-M 'P 4/m m m'
_symmetry_Int_Tables_number 123
_symmetry_space_group_name_Hall '-P 4 2'
_cell_length_a 4.740
_cell_length_b 4.740
_cell_length_c 4.465
_cell_angle_alpha 90.00
_cell_angle_beta 90.00
_cell_angle_gamma 90.00
loop_
_atom_site_label
_atom_site_type_symbol
_atom_site_fract_x
_atom_site_fract_y
_atom_site_fract_z
K1 K 0.000 0.000 0.000
Sc1 Sc 0.000 0.500 0.500
Sb1 Sb 0.500 0.500 0.000